An optimized crystal structure of Er2GaIr, computed with PBE-GGA.

Raw total energy, eV per cell: -22.11
ΔH_f (0 K), meV/atom: -274

Unit cell a=9.425 b=9.425 c=9.425 alpha=23.93 beta=23.93 gamma=23.93
Fractional positions:
Er  0.112  0.112  0.112
Er  0.888  0.888  0.888
Ga  0.000  0.000  0.000
Ir  0.500  0.500  0.500



An optimized crystal structure of SrAlSnHg, computed with PBE-GGA.

Raw total energy, eV per cell: -10.47
ΔH_f (0 K), meV/atom: -185

Unit cell a=5.344 b=5.344 c=5.344 alpha=60.00 beta=60.00 gamma=60.00
Fractional positions:
Sr  0.000  0.000  0.000
Al  0.500  0.500  0.500
Sn  0.750  0.750  0.750
Hg  0.250  0.250  0.250



An optimized crystal structure of TmSnHg, computed with PBE-GGA.

Raw total energy, eV per cell: -9.61
ΔH_f (0 K), meV/atom: -279

Unit cell a=4.876 b=4.876 c=4.876 alpha=60.00 beta=60.00 gamma=60.00
Fractional positions:
Tm  0.000  0.000  0.000
Sn  0.500  0.500  0.500
Hg  0.250  0.250  0.250



An optimized crystal structure of La8TmTh2, computed with PBE-GGA.

Raw total energy, eV per cell: -57.17
ΔH_f (0 K), meV/atom: 142

Unit cell a=9.650 b=9.650 c=9.650 alpha=145.00 beta=129.38 gamma=63.02
Fractional positions:
La  0.158  0.362  0.796
La  0.160  0.160  0.000
La  0.293  0.000  0.293
La  0.434  0.638  0.796
La  0.566  0.362  0.204
La  0.707  0.000  0.707
La  0.840  0.840  0.000
La  0.842  0.638  0.204
Tm  0.000  0.500  0.500
Th  0.301  0.801  0.500
Th  0.699  0.199  0.500



An optimized crystal structure of AcDyBi2, computed with PBE-GGA.

Raw total energy, eV per cell: -19.64
ΔH_f (0 K), meV/atom: -793
Polymorph energy (0 for the lowest one), meV per atom: 122

Unit cell a=8.446 b=8.446 c=8.446 alpha=31.79 beta=31.79 gamma=31.79
Fractional positions:
Ac  0.000  0.000  0.000
Dy  0.830  0.830  0.830
Bi  0.420  0.420  0.420
Bi  0.575  0.575  0.575



An optimized crystal structure of Be4Br, computed with PBE-GGA.

Raw total energy, eV per cell: -7.65
Uncorrected formation energy, eV per atom: 1.7854
Polymorph energy (0 for the lowest one), meV per atom: 1128

Unit cell a=4.371 b=4.371 c=4.371 alpha=90.00 beta=90.00 gamma=90.00
Fractional positions:
Be  0.000  0.000  0.000
Be  0.000  0.500  0.500
Be  0.500  0.000  0.500
Be  0.500  0.500  0.000
Br  0.500  0.500  0.500